# 1
A plane-wave DFT calculation with PBE was carried out for crystalline LaScReN2 at its relaxed geometry.

Summary:
Uncorrected formation energy (eV/atom): 0.86
Total moment (Bohr magnetons per cell): 0.8
Uncorrected energy (eV per atom): -7.21
Symmetry: No. 123

a b c (Å): 4.2539 4.2539 4.9939
angles (deg): 90.00 90.00 90.00
Closest atoms and distances in Å follow each position.
Sites, in units of the cell vectors:
La  0.0000  0.0000  0.0000  4 Re 3.01, 8 N 3.28
Sc  0.5000  0.5000  0.5000  4 N 2.13
Re  0.5000  0.5000  0.0000  2 Sc 2.50
N  0.0000  0.5000  0.5000  2 Sc 2.13
N  0.5000  0.0000  0.5000  2 Sc 2.13

# 2
A plane-wave DFT calculation with PBE was carried out for crystalline LaReSeN2 at its relaxed geometry.

Summary:
Uncorrected formation energy (eV/atom): 1.51
E above lowest polymorph (meV/atom): 1925.9
Total moment (Bohr magnetons per cell): 4.6
Uncorrected energy (eV per atom): -6.00
Symmetry: No. 123

a b c (Å): 4.1582 4.1582 6.3892
angles (deg): 90.00 90.00 90.00
Closest atoms and distances in Å follow each position.
Sites, in units of the cell vectors:
La  0.0000  0.0000  0.0000  4 N 2.08
Re  0.5000  0.5000  0.5000  4 Se 2.94
Se  0.0000  0.0000  0.5000  4 Re 2.94, 2 La 3.19
N  0.0000  0.5000  0.0000  2 La 2.08
N  0.5000  0.0000  0.0000  2 La 2.08

# 3
A plane-wave DFT calculation with PBE was carried out for crystalline LaReSe2N at its relaxed geometry.

Summary:
Uncorrected formation energy (eV/atom): 1.19
E above lowest polymorph (meV/atom): 1828.4
Total moment (Bohr magnetons per cell): 3.8
Uncorrected energy (eV per atom): -5.35
Symmetry: No. 123

a b c (Å): 5.8254 5.8254 4.0969
angles (deg): 90.00 90.00 90.00
Closest atoms and distances in Å follow each position.
Sites, in units of the cell vectors:
La  0.0000  0.0000  0.0000  2 N 2.05
Re  0.5000  0.5000  0.5000  8 Se 3.56
Se  0.0000  0.5000  0.0000  2 La 2.91
Se  0.5000  0.0000  0.0000  2 La 2.91
N  0.0000  0.0000  0.5000  2 La 2.05

# 4
A plane-wave DFT calculation with PBE was carried out for crystalline LaReSe2N at its relaxed geometry.

Summary:
Uncorrected formation energy (eV/atom): -0.64
E above lowest polymorph (meV/atom): 0.0
Total moment (Bohr magnetons per cell): 0.5
Uncorrected energy (eV per atom): -7.18
Symmetry: No. 123

a b c (Å): 5.1626 5.1626 3.8176
angles (deg): 90.00 90.00 90.00
Closest atoms and distances in Å follow each position.
Sites, in units of the cell vectors:
La  0.0000  0.0000  0.0000  8 Se 3.21
Re  0.5000  0.5000  0.5000  2 N 1.91
Se  0.0000  0.5000  0.5000  2 Re 2.58
Se  0.5000  0.0000  0.5000  2 Re 2.58
N  0.5000  0.5000  0.0000  2 Re 1.91

# 5
A plane-wave DFT calculation with PBE was carried out for crystalline LaReSeN2 at its relaxed geometry.

Summary:
Uncorrected formation energy (eV/atom): -0.42
E above lowest polymorph (meV/atom): 0.0
Total moment (Bohr magnetons per cell): 0.0
Uncorrected energy (eV per atom): -7.92
Symmetry: No. 123

a b c (Å): 4.0235 4.0235 5.1617
angles (deg): 90.00 90.00 90.00
Closest atoms and distances in Å follow each position.
Sites, in units of the cell vectors:
La  0.0000  0.0000  0.0000  4 Se 2.85
Re  0.5000  0.5000  0.5000  4 N 2.01
Se  0.5000  0.5000  0.0000  2 Re 2.58, 4 La 2.85
N  0.0000  0.5000  0.5000  2 Re 2.01
N  0.5000  0.0000  0.5000  2 Re 2.01

# 6
A plane-wave DFT calculation with PBE was carried out for crystalline SrLa2ReN4 at its relaxed geometry.

Summary:
Uncorrected formation energy (eV/atom): -0.80
Total moment (Bohr magnetons per cell): 0.0
Uncorrected energy (eV per atom): -7.96
Symmetry: No. 63

a b c (Å): 6.5932 6.5932 12.8152
angles (deg): 90.00 90.00 148.54
Closest atoms and distances in Å follow each position.
Sites, in units of the cell vectors:
Sr  0.0587  0.9413  0.7500  2 N 2.74
Sr  0.9413  0.0587  0.2500  2 N 2.74
La  0.3705  0.6295  0.5407  6 N 2.48-2.70
La  0.3705  0.6295  0.9593  6 N 2.48-2.70
La  0.6295  0.3705  0.0407  6 N 2.48-2.70
La  0.6295  0.3705  0.4593  6 N 2.48-2.70
Re  0.1918  0.8082  0.2500  2 N 1.86
Re  0.8082  0.1918  0.7500  2 N 1.86
N  0.0000  0.0000  0.0000  4 La 2.48
N  0.0000  0.0000  0.5000  4 La 2.48
N  0.2613  0.7387  0.1224  1 Re 1.86
N  0.2613  0.7387  0.3776  1 Re 1.86
N  0.3954  0.6046  0.7500  2 Re 2.10
N  0.6046  0.3954  0.2500  2 Re 2.10
N  0.7387  0.2613  0.6224  1 Re 1.86
N  0.7387  0.2613  0.8776  1 Re 1.86

# 7
A plane-wave DFT calculation with PBE was carried out for crystalline SrLaReN4 at its relaxed geometry.

Summary:
Uncorrected formation energy (eV/atom): -0.88
Total moment (Bohr magnetons per cell): 0.0
Uncorrected energy (eV per atom): -8.36
Symmetry: No. 11

a b c (Å): 6.1615 5.9543 7.1769
angles (deg): 90.00 106.81 90.00
Closest atoms and distances in Å follow each position.
Sites, in units of the cell vectors:
Sr  0.2103  0.2500  0.4236  4 N 2.67-2.74
Sr  0.7897  0.7500  0.5764  4 N 2.67-2.74
La  0.2902  0.2500  0.9508  4 N 2.47-2.57
La  0.7098  0.7500  0.0492  4 N 2.47-2.57
Re  0.2511  0.7500  0.1908  4 N 1.82-1.84
Re  0.7489  0.2500  0.8092  4 N 1.82-1.84
N  0.0562  0.7500  0.3419  1 Re 1.84
N  0.0727  0.7500  0.9402  1 Re 1.82
N  0.4430  0.5066  0.2285  1 Re 1.84
N  0.4430  0.9934  0.2285  1 Re 1.84
N  0.5570  0.0066  0.7715  1 Re 1.84
N  0.5570  0.4934  0.7715  1 Re 1.84
N  0.9273  0.2500  0.0598  1 Re 1.82
N  0.9438  0.2500  0.6581  1 Re 1.84

# 8
A plane-wave DFT calculation with PBE was carried out for crystalline LaTb2ReN4 at its relaxed geometry.

Summary:
Uncorrected formation energy (eV/atom): -1.04
Total moment (Bohr magnetons per cell): 0.0
Uncorrected energy (eV per atom): -8.54
Symmetry: No. 63

a b c (Å): 6.1943 6.1943 11.9262
angles (deg): 90.00 90.00 147.14
Closest atoms and distances in Å follow each position.
Sites, in units of the cell vectors:
La  0.0856  0.9144  0.7500  2 N 2.63
La  0.9144  0.0856  0.2500  2 N 2.63
Tb  0.3696  0.6304  0.5413  6 N 2.30-2.56
Tb  0.3696  0.6304  0.9587  6 N 2.30-2.56
Tb  0.6304  0.3696  0.0413  6 N 2.30-2.56
Tb  0.6304  0.3696  0.4587  6 N 2.30-2.56
Re  0.1689  0.8311  0.2500  4 N 1.91-2.05
Re  0.8311  0.1689  0.7500  4 N 1.91-2.05
N  0.0000  0.0000  0.0000  4 Tb 2.39
N  0.0000  0.0000  0.5000  4 Tb 2.39
N  0.2622  0.7378  0.1193  1 Re 1.91
N  0.2622  0.7378  0.3807  1 Re 1.91
N  0.4208  0.5792  0.7500  2 Re 2.05
N  0.5792  0.4208  0.2500  2 Re 2.05
N  0.7378  0.2622  0.6193  1 Re 1.91
N  0.7378  0.2622  0.8807  1 Re 1.91

# 9
A plane-wave DFT calculation with PBE was carried out for crystalline La4Re3TcN12 at its relaxed geometry.

Summary:
Uncorrected formation energy (eV/atom): -0.70
Total moment (Bohr magnetons per cell): 0.0
Uncorrected energy (eV per atom): -9.06
Symmetry: No. 229

a b c (Å): 6.8735 6.8735 6.8735
angles (deg): 109.47 109.47 109.47
Closest atoms and distances in Å follow each position.
Sites, in units of the cell vectors:
La  0.0000  0.0000  0.5000  12 N 2.81
La  0.0000  0.5000  0.0000  12 N 2.81
La  0.5000  0.0000  0.0000  12 N 2.81
La  0.5000  0.5000  0.5000  12 N 2.81
Re  0.0000  0.5000  0.5000  6 N 1.97-1.98
Re  0.5000  0.0000  0.5000  6 N 1.97-1.98
Re  0.5000  0.5000  0.0000  6 N 1.97-1.98
Tc  0.0000  0.0000  0.0000  6 N 2.00
N  0.0000  0.2520  0.2520  1 Re 1.97, 1 Tc 2.00
N  0.0000  0.7480  0.7480  1 Re 1.97, 1 Tc 2.00
N  0.2500  0.5000  0.7500  2 Re 1.98
N  0.2500  0.7500  0.5000  2 Re 1.98
N  0.2520  0.0000  0.2520  1 Re 1.97, 1 Tc 2.00
N  0.2520  0.2520  0.0000  1 Re 1.97, 1 Tc 2.00
N  0.5000  0.2500  0.7500  2 Re 1.98
N  0.5000  0.7500  0.2500  2 Re 1.98
N  0.7480  0.0000  0.7480  1 Re 1.97, 1 Tc 2.00
N  0.7480  0.7480  0.0000  1 Re 1.97, 1 Tc 2.00
N  0.7500  0.2500  0.5000  2 Re 1.98
N  0.7500  0.5000  0.2500  2 Re 1.98

# 10
A plane-wave DFT calculation with PBE was carried out for crystalline LaReTeN2 at its relaxed geometry.

Summary:
Uncorrected formation energy (eV/atom): 1.50
E above lowest polymorph (meV/atom): 1474.1
Total moment (Bohr magnetons per cell): 4.3
Uncorrected energy (eV per atom): -5.93
Symmetry: No. 123

a b c (Å): 4.2337 4.2337 6.8642
angles (deg): 90.00 90.00 90.00
Closest atoms and distances in Å follow each position.
Sites, in units of the cell vectors:
La  0.0000  0.0000  0.0000  4 N 2.12
Re  0.5000  0.5000  0.5000  4 Te 2.99
Te  0.0000  0.0000  0.5000  4 Re 2.99
N  0.0000  0.5000  0.0000  2 La 2.12
N  0.5000  0.0000  0.0000  2 La 2.12

# 11
A plane-wave DFT calculation with PBE was carried out for crystalline LaReTeN2 at its relaxed geometry.

Summary:
Uncorrected formation energy (eV/atom): 0.03
E above lowest polymorph (meV/atom): 0.0
Total moment (Bohr magnetons per cell): 0.0
Uncorrected energy (eV per atom): -7.41
Symmetry: No. 123

a b c (Å): 4.1333 4.1333 5.4660
angles (deg): 90.00 90.00 90.00
Closest atoms and distances in Å follow each position.
Sites, in units of the cell vectors:
La  0.0000  0.0000  0.0000  4 Te 2.92
Re  0.5000  0.5000  0.5000  4 N 2.07
Te  0.5000  0.5000  0.0000  2 Re 2.73, 4 La 2.92
N  0.0000  0.5000  0.5000  2 Re 2.07
N  0.5000  0.0000  0.5000  2 Re 2.07